Record 1
DFT (GGA-PBEsol) results for a relaxed structure of WCl.

## Properties
**Energy above the most stable polymorph in this dataset**: 0 meV/atom
**Formation energy (no corrections)**: 0.598 eV per atom
**Final energy**: -7.31 eV/atom
**Symmetry**: Pmmn (59)

a = 2.972 Å, b = 4.312 Å, c = 4.725 Å
α = 90.00°, β = 90.00°, γ = 90.00°
Fractional positions:
W 0.500 0.000 0.125
W 0.000 0.500 0.875
Cl 0.000 0.000 0.593
Cl 0.500 0.500 0.407

---

Record 2
DFT (GGA-PBEsol) results for a relaxed structure of BaCo2Ni.

## Properties
**ΔE_f**: 1.0093 eV/atom
**Final energy**: -4.94 eV/atom
**Symmetry**: F-43m (216)

a = 4.494 Å, b = 4.494 Å, c = 4.494 Å
α = 60.00°, β = 60.00°, γ = 60.00°
Site moments in Bohr magnetons follow the coordinates.
Fractional positions:
Ni 0.250 0.250 0.250  -0.03
Co 0.000 0.000 0.000  1.45
Co 0.750 0.750 0.750  1.06
Ba 0.500 0.500 0.500  -0.09

---

Record 3
DFT (GGA-PBEsol) results for a relaxed structure of MnRe2.

## Properties
**ΔE_f**: 0.1556 eV/atom
**Final energy**: -11.99 eV/atom
**Symmetry**: I4/mmm (139)

a = 3.048 Å, b = 3.048 Å, c = 4.913 Å
α = 108.07°, β = 108.07°, γ = 90.00°
Site moments in Bohr magnetons follow the coordinates.
Fractional positions:
Mn 0.000 0.000 0.000  2.45
Re 0.663 0.663 0.326  0.07
Re 0.337 0.337 0.674  0.07

---

no.,N(E_F) (states/eV/atom)
1,0.4940
2,1.7130
3,1.1830